# Li3MnCoO5 PBE+U optimized geometry
data_Li3MnCoO5
_cell_length_a 4.946
_cell_length_b 5.066
_cell_length_c 7.591
_cell_angle_alpha 102.49
_cell_angle_beta 108.97
_cell_angle_gamma 99.45
_symmetry_space_group_name_H-M 'P 1'
_symmetry_Int_Tables_number 1
_symmetry_space_group_name_Hall 'P 1'
loop_
_atom_site_label
_atom_site_type_symbol
_atom_site_fract_x
_atom_site_fract_y
_atom_site_fract_z
Li1 Li 0.000 0.000 0.000
Li2 Li 0.005 0.505 0.498
Li3 Li 0.195 0.506 0.906
Li4 Li 0.379 0.486 0.288
Li5 Li 0.604 0.512 0.710
Li6 Li 0.809 0.497 0.093
Mn1 Mn 0.596 0.000 0.191
Mn2 Mn 0.803 0.003 0.605
Co1 Co 0.199 0.000 0.397
Co2 Co 0.400 0.003 0.800
O1 O 0.005 0.777 0.738
O2 O 0.189 0.220 0.643
O3 O 0.222 0.773 0.166
O4 O 0.412 0.784 0.557
O5 O 0.418 0.228 0.046
O6 O 0.581 0.774 0.953
O7 O 0.588 0.220 0.440
O8 O 0.781 0.231 0.830
O9 O 0.809 0.783 0.354
O10 O 0.990 0.225 0.257
# Mass density: 4.20 g/cm3
# Total moment: 5.90 μB per cell
# Volume: 8.49 Å³ per atom
# Energy above the most stable polymorph in this dataset: 0.0 meV per atom
# Crystal system: triclinic